(1)
Hf5Sn2Sb | Alexandria | PBE-GGA | relaxed; E = -64.4 eV/f.u.; DOS at the Fermi energy = 0.780 states/eV/atom; symmetry = No. 55; uncorrected formation energy = -0.31 eV per atom; offset from the most stable computed form = 0 meV per atom
1.0
7.405 0.000 0.000
0.000 11.342 0.000
0.000 0.000 4.346
Hf Sn Sb
10 4 2
Direct
0.000 0.000 0.000
0.137 0.269 0.000
0.217 0.580 0.500
0.283 0.080 0.500
0.363 0.769 0.000
0.500 0.500 0.000
0.637 0.231 0.000
0.717 0.920 0.500
0.783 0.420 0.500
0.863 0.731 0.000
0.100 0.831 0.500
0.400 0.331 0.500
0.600 0.669 0.500
0.900 0.169 0.500
0.000 0.500 0.000
0.500 0.000 0.000

---

(2)
SrCa2NiHg | Alexandria | PBE-GGA | relaxed; E = -12.3 eV/f.u.; DOS at the Fermi energy = 0.982 states/eV/atom; symmetry = No. 123; offset from the most stable computed form = 19 meV per atom; DFT formation energy = -0.53 eV per formula unit
1.0
5.373 0.000 0.000
0.000 5.373 0.000
0.000 0.000 5.277
Sr Ca Ni Hg
1 2 1 1
Direct
0.000 0.000 0.000
0.000 0.500 0.500
0.500 0.000 0.500
0.500 0.500 0.500
0.500 0.500 0.000